[1]
Density functional theory data (PBE-GGA) for a relaxed CoRe2Mo crystal.

The structure belongs to space group I4/mmm (No. 139); the cell edges are 3.8340, 3.8340 and 7.7089 Å and the angles 90.00°, 90.00° and 90.00°. The asymmetric unit holds Co at (0.0000, 0.0000, 0.0000), Re at (0.0000, 0.5000, 0.2500) and Mo at (0.0000, 0.0000, 0.5000).

As for the crystal system: tetragonal. The energy above the most stable polymorph in this dataset comes out at 0.057 eV/atom.

---

[2]
Density functional theory data (PBE-GGA) for a relaxed HoEr2Tl crystal.

The structure belongs to space group Cmcm (No. 63); the cell edges are 3.6335, 12.7950 and 10.0773 Å and the angles 90.00°, 90.00° and 90.00°. The asymmetric unit holds Ho at (0.0000, 0.0396, 0.2500), Er at (0.0000, 0.3701, 0.0324) and Tl at (0.0000, 0.2457, 0.7500).

As for the crystal system: orthorhombic. The energy above the most stable polymorph in this dataset comes out at 0.023 eV/atom.

---

[3]
Density functional theory data (PBE-GGA) for a relaxed CaHoP2 crystal.

The structure belongs to space group R3m (No. 160, hexagonal axes); the cell edges are 4.0036, 4.0036 and 20.8162 Å and the angles 90.00°, 90.00° and 120.00°. The asymmetric unit holds Ca at (0.0000, 0.0000, 0.0000), Ho at (0.0000, 0.0000, 0.8271), P at (0.0000, 0.0000, 0.2400) and P at (0.0000, 0.0000, 0.4190).

As for the crystal system: trigonal. The energy above the most stable polymorph in this dataset comes out at 0.071 eV/atom.

---

[4]
Density functional theory data (PBE-GGA) for a relaxed IrRh3Se crystal.

The structure belongs to space group Pm-3m (No. 221); the cell edges are 4.7313, 4.7313 and 4.7313 Å and the angles 90.00°, 90.00° and 90.00°. The asymmetric unit holds Ir at (0.0000, 0.0000, 0.0000), Rh at (0.0000, 0.0000, 0.5000) and Se at (0.5000, 0.5000, 0.5000).

The value obtained for the uncorrected formation energy is 1.349 eV per atom. As for the crystal system: cubic. The energy above the most stable polymorph in this dataset comes out at 0.316 eV/atom.

---

[5]
Density functional theory data (PBE-GGA) for a relaxed CaPtW crystal.

The structure belongs to space group Pm (No. 6); the cell edges are 3.2075, 4.6789 and 8.5107 Å and the angles 90.00°, 92.13° and 90.00°. The asymmetric unit holds Ca at (0.0000, 0.0000, 0.0000), Ca at (0.0095, 0.0000, 0.3731), Pt at (0.5043, 0.5000, 0.2031), Pt at (0.5185, 0.0000, 0.7003), W at (0.0496, 0.5000, 0.7289) and W at (0.5251, 0.5000, 0.5126).

As for the crystal system: monoclinic.

---

[6]
Density functional theory data (PBE-GGA) for a relaxed In2SnSb2Te crystal.

The structure belongs to space group Cmc2_1 (No. 36); the cell edges are 13.6497, 9.0497 and 7.6069 Å and the angles 90.00°, 90.00° and 90.00°. The asymmetric unit holds In at (0.1805, 0.1519, 0.0000), Sn at (0.0000, 0.3306, 0.4843), Sb at (0.1708, 0.1482, 0.3766) and Te at (0.0000, 0.2816, 0.8737).

The value obtained for the uncorrected formation energy is -0.069 eV per atom. As for the crystal system: orthorhombic.

---

no.,E_tot (eV per cell),mass density (kg/m3)
1,-84.833,15454
2,-66.825,9979
3,-65.561,4602
4,-27.655,9092
5,-41.579,10902
6,-85.131,5086